Ca3HW: relaxed, GGA-PBEsol.

The structure in POSCAR format:
```
Ca3HW
1.0
4.7424 0.0000 0.0000
0.0000 4.7424 0.0000
0.0000 0.0000 4.7424
Ca W H
3 1 1
Direct
0.0000 0.0000 0.5000
0.0000 0.5000 0.0000
0.5000 0.0000 0.0000
0.5000 0.5000 0.5000
0.0000 0.0000 0.0000
```

Summary:
- Space group: Pm-3m (221)
- Fermi-level density of states: 5.5 states/eV/f.u.
- Volume: 106.7 Å³/cell
- Total moment: 2.03 μB/cell
- Distance to the lowest polymorph of the same formula: 0 meV/atom

SbN2O2: relaxed, GGA-PBEsol.

The structure in POSCAR format:
```
SbN2O2
1.0
-0.2701 3.8169 -0.8086
-2.4236 -0.8463 -3.1852
-3.2836 0.2811 2.4238
N Sb O
2 1 2
Direct
0.0000 0.5000 0.0000
0.0000 0.0000 0.5000
0.0000 0.0000 0.0000
0.5000 0.0000 0.0000
0.5000 0.5000 0.5000
```

Summary:
- Space group: P4/mmm (123)
- Fermi-level density of states: 1.8 states/eV/f.u.
- Formation energy without anion corrections: 141.8 kJ per mole of atoms
- Volume: 65.5 Å³/cell
- Total moment: 5.03 μB/cell

CsNi3Cl: relaxed, GGA-PBEsol.

The structure in POSCAR format:
```
CsNi3Cl
1.0
-2.6001 1.3100 -3.6997
0.1845 -4.3922 -1.6849
-3.9204 -1.0756 2.3744
Cs Ni Cl
1 3 1
Direct
0.0000 0.0000 0.0000
0.5000 0.0000 0.0000
0.0000 0.0000 0.5000
0.0000 0.5000 0.0000
0.5000 0.5000 0.5000
```

Summary:
- Space group: Pm-3m (221)
- Fermi-level density of states: 12.9 states/eV/f.u.
- Formation energy without anion corrections: 186.3 kJ per mole of atoms
- Volume: 104.3 Å³/cell
- Total moment: 0.27 μB/cell